12
Lattice="-2.472 0.388 6.608 -4.093 -0.172 -1.521 0.217 -11.191 0.679" Properties=species:S:1:pos:R:3 comment="InGaCl (PBE-GGA, relaxed)" magnetic_moment_mub_per_fu=0.00 e_form_raw_kcal_per_mol_atoms=-9.27 pbc="T T T"
Cl -2.153 -5.690 6.434
Cl -4.308 -0.181 5.334
Cl -1.098 -1.253 3.095
Cl -3.036 -6.934 2.674
Ga -1.607 -3.732 4.744
Ga -3.545 -9.413 4.322
Ga -0.950 -10.025 3.687
Ga -3.105 -4.515 2.587
In -0.449 -3.702 1.625
In -2.387 -9.383 1.204
In -2.098 -8.342 6.586
In -4.253 -2.833 5.486


4
Lattice="6.642 0.000 0.000 3.033 5.909 0.000 -4.837 -2.955 3.462" Properties=species:S:1:pos:R:3 comment="Sr2CaAs (PBE-GGA, relaxed)" formation_enthalpy_0k_ev_per_fu=-1.2 magnetic_moment_mub_per_fu=0.00 pbc="T T T"
Sr 0.000 0.000 0.000
Sr 1.516 2.955 1.731
As 4.837 2.955 0.000
Ca 3.321 0.000 1.731


8
Lattice="-3.881 1.970 0.628 -0.669 -3.476 6.771 3.674 6.900 1.066" Properties=species:S:1:pos:R:3 comment="CaPr2TmTe4 (PBE-GGA, relaxed)" magnetic_moment_mub_per_fu=0.00 e_form_raw_kcal_per_mol_atoms=-32.67 pbc="T T T"
Ca -2.275 -0.753 3.699
Pr -0.104 4.435 0.847
Pr 1.503 1.712 3.919
Tm 0.000 0.000 0.000
Te -1.245 1.758 2.193
Te 0.369 3.636 6.272
Te 2.637 4.399 2.505
Te 0.368 -0.974 5.332